Density functional theory data (GGA-PBE) for Zr2TiS after structural relaxation. Values from VASP.

Computed properties:
- total energy (eV/atom) = -7.915
- SG = R3m
- formation energy (no corrections) (eV/f.u.) = -2.54

```
&SYSTEM
  ibrav = 0, nat = 4, ntyp = 3
/
ATOMIC_SPECIES
Ti 47.87 Ti.upf
Zr 91.22 Zr.upf
S 32.06 S.upf
CELL_PARAMETERS angstrom
3.3315 0.0000 0.0000
1.6657 2.8852 0.0000
1.6657 0.9617 8.2303
ATOMIC_POSITIONS crystal
Ti 0.4993 0.4993 0.5021
Zr 0.2597 0.2597 0.2208
Zr 0.0735 0.0735 0.7794
S 0.6674 0.6674 0.9977
```